# 1
A geometry-optimized ScCu2GeBr structure, computed with PBE-GGA.

- formation energy (no corrections) (eV/atom) = -0.04
- Fermi-level density of states (states/eV per atom) = 0.40
- calculated volume (A^3/atom) = 21.95

abc: 4.5216 4.5216 5.3680
angles: 90.00 90.00 90.00
Positions (direct):
Sc1 0.0000 0.0000 0.0000
Cu1 0.0000 0.5000 0.5000
Cu2 0.5000 0.0000 0.5000
Ge1 0.0000 0.0000 0.5000
Br1 0.5000 0.5000 0.0000

# 2
A geometry-optimized CuGeSeBr2 structure, computed with PBE-GGA.

- formation energy (no corrections) (eV/atom) = 0.16
- Fermi-level density of states (states/eV per atom) = 0.23
- ΔE to the lowest computed polymorph (meV/atom) = 0
- calculated volume (A^3/atom) = 24.06

abc: 4.8729 4.8729 5.0669
angles: 90.00 90.00 90.00
Positions (direct):
Cu1 0.0000 0.0000 0.0000
Ge1 0.5000 0.5000 0.5000
Se1 0.0000 0.0000 0.5000
Br1 0.0000 0.5000 0.0000
Br2 0.5000 0.0000 0.0000

# 3
A geometry-optimized CuGeSeBr2 structure, computed with PBE-GGA.

- formation energy (no corrections) (eV/atom) = 0.35
- Fermi-level density of states (states/eV per atom) = 1.10
- ΔE to the lowest computed polymorph (meV/atom) = 188
- calculated volume (A^3/atom) = 28.09

abc: 5.2350 5.2350 5.1244
angles: 90.00 90.00 90.00
Positions (direct):
Cu1 0.0000 0.0000 0.0000
Ge1 0.5000 0.5000 0.5000
Se1 0.5000 0.5000 0.0000
Br1 0.0000 0.5000 0.5000
Br2 0.5000 0.0000 0.5000

# 4
A geometry-optimized Tl2Cu2GeBr6 structure, computed with PBE-GGA.

- formation energy (no corrections) (eV/atom) = -0.53
- calculated volume (A^3/atom) = 31.46

abc: 7.7589 7.7589 7.8235
angles: 117.23 117.23 59.89
Positions (direct):
Tl1 0.2392 0.2392 0.2097
Tl2 0.7608 0.7608 0.7903
Cu1 0.4494 0.4494 0.7985
Cu2 0.5506 0.5506 0.2015
Ge1 0.0000 0.0000 0.5000
Br1 0.1942 0.6984 0.1959
Br2 0.2415 0.2415 0.6420
Br3 0.3016 0.8058 0.8041
Br4 0.6984 0.1942 0.1959
Br5 0.7585 0.7585 0.3580
Br6 0.8058 0.3016 0.8041

# 5
A geometry-optimized Zr2CuGeBr structure, computed with PBE-GGA.

- formation energy (no corrections) (eV/atom) = 0.58
- Fermi-level density of states (states/eV per atom) = 0.77
- calculated volume (A^3/atom) = 23.06

abc: 5.1070 5.1070 4.4204
angles: 90.00 90.00 90.00
Positions (direct):
Zr1 0.0000 0.5000 0.0000
Zr2 0.5000 0.0000 0.0000
Cu1 0.0000 0.0000 0.0000
Ge1 0.5000 0.5000 0.5000
Br1 0.0000 0.0000 0.5000

# 6
A geometry-optimized CuHBr2 structure, computed with PBE-GGA.

- Fermi-level density of states (states/eV per atom) = 0.00
- ΔE to the lowest computed polymorph (meV/atom) = 251
- calculated volume (A^3/atom) = 19.01

abc: 6.4883 6.4883 6.4883
angles: 131.03 131.03 71.76
Positions (direct):
Cu1 0.0000 0.0000 0.0000
Cu2 0.7500 0.2500 0.5000
H1 0.2500 0.7500 0.5000
H2 0.5000 0.5000 0.0000
Br1 0.1648 0.6250 0.0398
Br2 0.3750 0.4148 0.5398
Br3 0.5852 0.1250 0.9602
Br4 0.8750 0.8352 0.4602

# 7
A geometry-optimized CuH3Br structure, computed with PBE-GGA.

- Fermi-level density of states (states/eV per atom) = 0.64
- ΔE to the lowest computed polymorph (meV/atom) = 478
- calculated volume (A^3/atom) = 11.30

abc: 3.8370 3.8370 3.8370
angles: 90.00 90.00 90.00
Positions (direct):
Cu1 0.0000 0.0000 0.0000
H1 0.0000 0.5000 0.5000
H2 0.5000 0.0000 0.5000
H3 0.5000 0.5000 0.0000
Br1 0.5000 0.5000 0.5000

# 8
A geometry-optimized CuHBr3 structure, computed with PBE-GGA.

- Fermi-level density of states (states/eV per atom) = 1.32
- ΔE to the lowest computed polymorph (meV/atom) = 979
- calculated volume (A^3/atom) = 20.72

abc: 4.6967 4.6967 4.6967
angles: 90.00 90.00 90.00
Positions (direct):
Cu1 0.0000 0.0000 0.0000
H1 0.5000 0.5000 0.5000
Br1 0.0000 0.5000 0.5000
Br2 0.5000 0.0000 0.5000
Br3 0.5000 0.5000 0.0000